Rb3Y2ErTe6 | Alexandria | PBE | optimized geometry; energy = -4.66 eV/atom; formation energy from raw total energies = -1.39 eV/atom
1.0
-2.763 -5.585 -4.734
7.613 0.189 1.803
-3.095 -3.208 7.746
Rb Y Er Te
3 2 1 6
Cartesian
4.328 -2.382 4.582
-2.574 -6.222 0.233
0.877 -4.302 2.407
4.153 -1.737 -0.377
0.697 -3.660 -2.554
0.000 0.000 0.000
-0.472 -7.671 2.871
2.950 -4.607 -0.612
2.227 -0.933 1.943
2.964 -5.759 5.036
-1.195 -3.997 5.427
-1.209 -2.845 -0.222



Nd2CuTe | Alexandria | PBE | optimized geometry; energy = -4.82 eV/atom; energy above the most stable polymorph in this dataset = 125 meV/atom; formation energy from raw total energies = -0.63 eV/atom
1.0
4.133 0.000 0.000
2.066 3.579 0.000
2.066 1.193 7.943
Nd Cu Te
2 1 1
Cartesian
2.066 1.193 5.854
2.066 1.193 2.086
4.133 2.386 3.992
6.199 3.579 7.925



SrTc2 | Alexandria | PBE | optimized geometry; energy = -6.83 eV/atom; E_form = 185 kJ/mol of formula units; energy above the most stable polymorph in this dataset = 319 meV/atom
1.0
3.542 0.000 0.000
0.000 3.542 0.000
0.000 0.000 5.611
Sr Tc
1 2
Cartesian
0.000 0.000 0.000
0.000 1.771 2.806
1.771 0.000 2.806



TiGa2I8 | Alexandria | PBE | optimized geometry; energy = -2.93 eV/atom; energy above the most stable polymorph in this dataset = 0 meV/atom; formation energy from raw total energies = -0.54 eV/atom
1.0
6.953 -0.831 -0.580
0.036 8.671 -0.694
0.036 2.332 8.380
Ti Ga I
1 2 8
Cartesian
0.000 0.000 0.000
4.501 1.579 1.103
2.524 8.594 6.003
1.547 2.286 5.941
1.547 6.365 0.102
5.478 7.886 1.164
1.580 6.649 4.645
5.478 3.807 7.004
1.855 1.815 1.268
5.171 8.358 5.838
5.445 3.523 2.461